# 1
Entry from Alexandria via LeMat-Bulk: a relaxed structure of ScTe2Au (GGA-PBEsol).

Calculated values
As for the crystal system: trigonal. The calculated total energy comes out at -5.018 eV per atom. The symmetry is R-3m.

a b c (Å): 4.1770 4.1770 8.6199
angles (deg): 75.98 75.98 60.00
Closest atoms and distances in Å follow each position.
Positions (direct):
Sc: 0.5000 0.5000 0.5000  6 Te 2.89
Te: 0.8974 0.8974 0.3079  1 Au 2.55
Te: 0.1026 0.1026 0.6921  1 Au 2.55
Au: 0.0000 0.0000 0.0000  2 Te 2.55

# 2
Entry from Alexandria via LeMat-Bulk: a relaxed structure of ScTe2Au (GGA-PBEsol).

Calculated values
As for the crystal system: orthorhombic. The calculated total energy comes out at -5.156 eV per atom. The symmetry is Amm2.

a b c (Å): 3.9020 3.9596 6.5742
angles (deg): 90.00 107.27 90.00
Closest atoms and distances in Å follow each position.
Positions (direct):
Sc: 0.6941 0.1250 0.3882  6 Te 2.98-2.99, 2 Au 3.04
Te: 0.0150 0.1250 0.0300  4 Au 2.78, 2 Sc 2.98
Te: 0.2809 0.6250 0.5618  1 Au 2.88, 4 Sc 2.99
Au: 0.5101 0.6250 0.0201  5 Te 2.78-2.88, 2 Sc 3.04

# 3
Entry from Alexandria via LeMat-Bulk: a relaxed structure of Sc2TlAu2 (GGA-PBEsol).

Calculated values
Its formation energy is -0.4033 eV per atom. As for the crystal system: tetragonal. The symmetry is I4/mmm.

a b c (Å): 4.6091 4.6091 6.2623
angles (deg): 111.59 111.59 90.00
Closest atoms and distances in Å follow each position.
Positions (direct):
Sc: 0.2500 0.7500 0.5000  4 Au 2.69
Sc: 0.7500 0.2500 0.5000  4 Au 2.69
Tl: 0.0000 0.0000 0.0000  8 Au 3.51, 8 Sc 3.53
Au: 0.3789 0.3789 0.7578  1 Au 2.59, 4 Sc 2.69
Au: 0.6211 0.6211 0.2422  1 Au 2.59, 4 Sc 2.69

# 4
Entry from Alexandria via LeMat-Bulk: a relaxed structure of ScTl2Au (GGA-PBEsol).

Calculated values
Its formation energy is -0.1578 eV per atom. As for the crystal system: cubic. The symmetry is Fm-3m.

a b c (Å): 4.9365 4.9365 4.9365
angles (deg): 60.00 60.00 60.00
Closest atoms and distances in Å follow each position.
Positions (direct):
Au: 0.0000 0.0000 0.0000  8 Tl 3.02
Sc: 0.5000 0.5000 0.5000  8 Tl 3.02
Tl: 0.7500 0.7500 0.7500  4 Au 3.02, 4 Sc 3.02
Tl: 0.2500 0.2500 0.2500  4 Sc 3.02, 4 Au 3.02

# 5
Entry from Alexandria via LeMat-Bulk: a relaxed structure of ScTlAu2 (GGA-PBEsol).

Calculated values
Its formation energy is -0.3318 eV per atom. As for the crystal system: trigonal. The symmetry is R-3m.

a b c (Å): 3.6188 3.6188 7.9874
angles (deg): 76.91 76.91 60.00
Closest atoms and distances in Å follow each position.
Positions (direct):
Au: 0.2438 0.2438 0.2685  3 Sc 2.75, 3 Tl 2.94
Au: 0.7562 0.7562 0.7315  3 Sc 2.75, 3 Tl 2.94
Sc: 0.5000 0.5000 0.5000  6 Au 2.75
Tl: 0.0000 0.0000 0.0000  6 Au 2.94

# 6
Entry from Alexandria via LeMat-Bulk: a relaxed structure of ScTlAu2 (GGA-PBEsol).

Calculated values
Its formation energy is -0.3595 eV per atom. As for the crystal system: tetragonal. The symmetry is P4mm.

a b c (Å): 3.4660 3.4660 6.5782
angles (deg): 90.00 90.00 90.00
Closest atoms and distances in Å follow each position.
Positions (direct):
Au: 0.0000 0.0000 0.0189  1 Sc 2.90, 4 Au 2.90, 4 Tl 2.96
Au: 0.5000 0.5000 0.2552  4 Sc 2.80, 4 Au 2.90
Sc: 0.0000 0.0000 0.4601  5 Au 2.80-2.90
Tl: 0.5000 0.5000 0.7658  5 Au 2.96-3.22, 4 Sc 3.17

# 7
Entry from Alexandria via LeMat-Bulk: a relaxed structure of ScWAu3 (GGA-PBEsol).

Calculated values
Its formation energy is 0.9193 eV per atom. As for the crystal system: cubic. The symmetry is Pm-3m.

a b c (Å): 4.9264 4.9264 4.9264
angles (deg): 90.00 90.00 90.00
Closest atoms and distances in Å follow each position.
Positions (direct):
Sc: 0.5000 0.5000 0.5000  12 Au 3.48
Au: 0.0000 0.5000 0.0000  2 W 2.46
Au: 0.0000 0.0000 0.5000  2 W 2.46
Au: 0.5000 0.0000 0.0000  2 W 2.46
W: 0.0000 0.0000 0.0000  6 Au 2.46

# 8
Entry from Alexandria via LeMat-Bulk: a relaxed structure of ScW2Au (GGA-PBEsol).

Calculated values
Its formation energy is 0.6941 eV per atom. As for the crystal system: cubic. The energy relative to the lowest polymorph listed for this composition comes out at 0.615 eV/atom. The symmetry is Fm-3m.

a b c (Å): 4.5419 4.5419 4.5419
angles (deg): 60.00 60.00 60.00
Closest atoms and distances in Å follow each position.
Positions (direct):
Au: 0.0000 0.0000 0.0000  8 W 2.78
Sc: 0.5000 0.5000 0.5000  8 W 2.78
W: 0.2500 0.2500 0.2500  4 Sc 2.78, 4 Au 2.78
W: 0.7500 0.7500 0.7500  4 Sc 2.78, 4 Au 2.78

Calculated density values, unit Mg/m³, following the record order: 6.60, 8.51, 10.06, 12.70, 12.22, 13.52, 11.38, 15.28.